Entry from the Alexandria database: an optimized crystal structure of Hf2Hg2O (GGA-PBE).

```
Hf2Hg2O
1.0
6.019 0.000 0.000
0.000 6.019 0.000
0.000 0.000 5.253
Hf Hg O
4 4 2
direct
0.324 0.824 0.000
0.824 0.676 0.000
0.676 0.176 0.000
0.176 0.324 0.000
0.165 0.665 0.500
0.665 0.835 0.500
0.835 0.335 0.500
0.335 0.165 0.500
0.000 0.000 0.000
0.500 0.500 0.000
```

Results
calculated density: 13512 kg/m3
uncorrected formation energy: -0.99 eV per atom
size of the total moment: 0.0 μB/f.u.


Entry from the Alexandria database: an optimized crystal structure of SrEuPd2 (GGA-PBE).

```
SrEuPd2
1.0
5.209 0.000 0.000
2.604 4.511 0.000
2.604 1.504 4.253
Eu Sr Pd
1 1 2
direct
0.000 0.000 0.000
0.500 0.500 0.500
0.250 0.250 0.250
0.750 0.750 0.750
```

Results
calculated density: 7518 kg/m3
E_tot: -0.22660 Ha/atom
size of the total moment: 6.8 μB/f.u.


Entry from the Alexandria database: an optimized crystal structure of Ce5GeIr2 (GGA-PBE).

```
Ce5GeIr2
1.0
5.712 0.000 0.000
-2.856 6.359 0.000
0.000 0.000 13.859
Ce Ge Ir
10 2 4
direct
0.948 0.897 0.876
0.948 0.897 0.624
0.341 0.682 0.446
0.341 0.682 0.054
0.766 0.531 0.250
0.234 0.469 0.750
0.659 0.318 0.554
0.659 0.318 0.946
0.052 0.103 0.124
0.052 0.103 0.376
0.762 0.524 0.750
0.238 0.476 0.250
0.848 0.697 0.445
0.848 0.697 0.055
0.152 0.303 0.555
0.152 0.303 0.945
```

Results
calculated density: 7637 kg/m3
E_tot: -0.25192 Ha/atom
size of the total moment: 4.5 μB/f.u.


Entry from the Alexandria database: an optimized crystal structure of Ba2GaHg6Au (GGA-PBE).

```
Ba2GaHg6Au
1.0
8.887 -0.425 -1.765
-0.595 7.744 1.720
2.802 5.056 4.800
Ba Ga Hg Au
2 1 6 1
direct
0.718 0.141 0.647
0.282 0.859 0.353
0.000 0.000 0.000
0.367 0.292 0.562
0.977 0.801 0.822
0.220 0.602 0.120
0.780 0.398 0.880
0.023 0.199 0.178
0.633 0.708 0.438
0.500 0.500 0.000
```

Results
calculated density: 9875 kg/m3
E_tot: -0.05526 Ha/atom
size of the total moment: 0.0 μB/f.u.


Entry from the Alexandria database: an optimized crystal structure of HgSb2Se (GGA-PBE).

```
HgSb2Se
1.0
-0.918 -0.615 5.094
1.493 3.677 3.380
-3.573 2.957 2.380
Sb Hg Se
2 1 1
direct
0.250 0.250 0.250
0.750 0.750 0.750
0.500 0.500 0.500
0.000 0.000 0.000
```

Results
calculated density: 8671 kg/m3
uncorrected formation energy: 0.25 eV per atom
size of the total moment: 0.0 μB/f.u.


Entry from the Alexandria database: an optimized crystal structure of In2WSe (GGA-PBE).

```
In2WSe
1.0
4.376 0.000 0.000
0.000 3.640 0.005
0.000 1.813 5.246
In Se W
2 1 1
direct
0.000 0.967 0.940
0.500 0.284 0.308
0.000 0.691 0.493
0.500 0.558 0.759
```

Results
calculated density: 9791 kg/m3
uncorrected formation energy: 0.30 eV per atom
size of the total moment: 0.0 μB/f.u.


Entry from the Alexandria database: an optimized crystal structure of Zr2ScZn (GGA-PBE).

```
Zr2ScZn
1.0
-3.047 -2.420 6.873
-2.734 -6.526 -3.509
-0.473 -5.809 2.283
Sc Zn Zr
2 2 4
direct
0.500 0.500 0.000
0.250 0.750 0.500
0.000 0.000 0.000
0.750 0.250 0.500
0.657 0.125 0.250
0.093 0.625 0.250
0.375 0.343 0.750
0.875 0.907 0.750
```

Results
calculated density: 5515 kg/m3
E_tot: -0.21923 Ha/atom
size of the total moment: 0.0 μB/f.u.


Entry from the Alexandria database: an optimized crystal structure of NaSrTe2As (GGA-PBE).

```
NaSrTe2As
1.0
-2.970 -5.141 -1.752
3.705 -3.183 3.057
-3.695 0.450 4.946
Sr As Te Na
1 1 2 1
direct
0.000 0.000 0.000
0.000 0.500 0.000
0.000 0.000 0.500
0.500 0.000 0.000
0.500 0.500 0.500
```

Results
calculated density: 3314 kg/m3
uncorrected formation energy: 0.01 eV per atom
size of the total moment: 0.0 μB/f.u.


Entry from the Alexandria database: an optimized crystal structure of NdZrH2 (GGA-PBE).

```
NdZrH2
1.0
-1.437 -2.279 -2.051
1.858 -1.562 -2.361
1.406 -5.470 2.297
H Nd Zr
2 1 1
direct
0.728 0.728 0.817
0.272 0.272 0.183
0.500 0.500 0.500
0.000 0.000 0.000
```

Results
calculated density: 6876 kg/m3
E_tot: -0.19424 Ha/atom
size of the total moment: 0.0 μB/f.u.


Entry from the Alexandria database: an optimized crystal structure of Ta4TePd2 (GGA-PBE).

```
Ta4TePd2
1.0
4.953 0.000 0.000
0.000 4.953 0.000
2.476 2.476 6.527
Te Pd Ta
1 2 4
direct
0.000 0.000 0.000
0.606 0.606 0.788
0.394 0.394 0.212
0.792 0.792 0.417
0.208 0.208 0.583
0.000 0.500 0.000
0.500 0.000 0.000
```

Results
calculated density: 11037 kg/m3
uncorrected formation energy: 1.30 eV per atom
size of the total moment: 0.0 μB/f.u.


Entry from the Alexandria database: an optimized crystal structure of BaPuCu2O6 (GGA-PBE).

```
BaPuCu2O6
1.0
7.182 -0.825 -0.857
1.393 6.585 -0.739
1.393 -0.982 6.553
Ba Pu Cu O
2 2 4 12
direct
0.250 0.906 0.094
0.750 0.094 0.906
0.250 0.284 0.716
0.750 0.716 0.284
0.325 0.706 0.549
0.175 0.451 0.294
0.675 0.294 0.451
0.825 0.549 0.706
0.245 0.986 0.705
0.255 0.295 0.014
0.755 0.014 0.295
0.745 0.705 0.986
0.462 0.742 0.316
0.038 0.684 0.258
0.538 0.258 0.684
0.962 0.316 0.742
0.236 0.594 0.762
0.264 0.238 0.406
0.764 0.406 0.238
0.736 0.762 0.594
```

Results
calculated density: 6232 kg/m3
uncorrected formation energy: -1.79 eV per atom
size of the total moment: 1.9 μB/f.u.


Entry from the Alexandria database: an optimized crystal structure of LiPmGa2Au5 (GGA-PBE).

```
LiPmGa2Au5
1.0
-1.808 3.866 1.846
-2.858 0.405 -3.646
-5.972 -4.775 4.150
Li Pm Ga Au
1 1 2 5
direct
0.000 0.000 0.000
0.000 0.000 0.500
0.500 0.500 0.142
0.500 0.500 0.858
0.000 0.500 0.269
0.500 0.000 0.269
0.000 0.500 0.731
0.500 0.000 0.731
0.500 0.500 0.500
```

Results
calculated density: 11265 kg/m3
E_tot: -0.13384 Ha/atom
size of the total moment: 0.0 μB/f.u.


Entry from the Alexandria database: an optimized crystal structure of NpSiRh (GGA-PBE).

```
NpSiRh
1.0
5.466 0.000 0.000
2.733 4.734 0.000
2.733 1.578 11.686
Np Rh Si
6 6 6
direct
0.739 0.739 0.783
0.261 0.261 0.217
0.034 0.034 0.897
0.966 0.966 0.103
0.183 0.183 0.451
0.817 0.817 0.549
0.217 0.725 0.334
0.725 0.217 0.334
0.725 0.725 0.334
0.783 0.275 0.666
0.275 0.783 0.666
0.275 0.275 0.666
0.392 0.392 0.823
0.608 0.608 0.177
0.000 0.500 0.000
0.500 0.000 0.000
0.500 0.500 0.000
0.500 0.500 0.500
```

Results
calculated density: 12123 kg/m3
uncorrected formation energy: -0.49 eV per atom
size of the total moment: 2.8 μB/f.u.


Entry from the Alexandria database: an optimized crystal structure of LiSm4Al2Zn (GGA-PBE).

```
LiSm4Al2Zn
1.0
5.227 0.000 0.000
2.613 4.527 0.000
2.613 1.509 8.529
Li Sm Al Zn
1 4 2 1
direct
0.000 0.000 0.000
0.378 0.378 0.865
0.872 0.872 0.384
0.128 0.128 0.616
0.622 0.622 0.135
0.747 0.747 0.759
0.253 0.253 0.241
0.500 0.500 0.500
```

Results
calculated density: 5988 kg/m3
E_tot: -0.14629 Ha/atom
size of the total moment: 0.0 μB/f.u.


Entry from the Alexandria database: an optimized crystal structure of CsTiI2 (GGA-PBE).

```
CsTiI2
1.0
-0.930 -5.717 -1.465
-2.663 -3.683 3.879
-5.548 -1.949 -1.057
Cs I Ti
1 2 1
direct
0.500 0.500 0.500
0.250 0.250 0.250
0.750 0.750 0.750
0.000 0.000 0.000
```

Results
calculated density: 4785 kg/m3
uncorrected formation energy: -0.18 eV per atom
size of the total moment: 3.0 μB/f.u.


Entry from the Alexandria database: an optimized crystal structure of Ho4Sb2Se (GGA-PBE).

```
Ho4Sb2Se
1.0
7.548 0.000 -0.490
0.000 6.519 0.000
-3.435 0.000 8.379
Ho Sb Se
8 4 2
direct
0.482 0.497 0.274
0.187 0.750 0.860
0.813 0.250 0.140
0.482 0.003 0.274
0.940 0.250 0.591
0.518 0.997 0.726
0.518 0.503 0.726
0.060 0.750 0.409
0.656 0.750 0.068
0.344 0.250 0.932
0.229 0.250 0.425
0.771 0.750 0.575
0.146 0.750 0.141
0.854 0.250 0.859
```

Results
calculated density: 8129 kg/m3
uncorrected formation energy: -0.96 eV per atom
size of the total moment: 0.0 μB/f.u.


Entry from the Alexandria database: an optimized crystal structure of NaAsPb (GGA-PBE).

```
NaAsPb
1.0
3.894 0.000 0.000
0.000 3.894 0.000
-1.947 -1.947 5.267
Pb Na As
1 1 1
direct
0.644 0.644 0.288
0.943 0.943 0.887
0.263 0.263 0.525
```

Results
calculated density: 6346 kg/m3
E_tot: -0.12305 Ha/atom
size of the total moment: 0.0 μB/f.u.


Entry from the Alexandria database: an optimized crystal structure of K2Mg5Tl12 (GGA-PBE).

```
K2Mg5Tl12
1.0
-7.770 1.473 2.862
-3.718 -7.016 -2.773
0.386 -4.518 7.083
K Mg Tl
2 5 12
direct
0.647 0.647 0.647
0.353 0.353 0.353
0.000 0.000 0.500
0.000 0.500 0.000
0.500 0.000 0.000
0.902 0.902 0.902
0.098 0.098 0.098
0.292 0.708 0.000
0.708 0.000 0.292
0.000 0.292 0.708
0.708 0.292 0.000
0.292 0.000 0.708
0.000 0.708 0.292
0.341 0.341 0.873
0.341 0.873 0.341
0.873 0.341 0.341
0.659 0.127 0.659
0.659 0.659 0.127
0.127 0.659 0.659
```

Results
calculated density: 7639 kg/m3
E_tot: -0.07570 Ha/atom
size of the total moment: 0.0 μB/f.u.


Entry from the Alexandria database: an optimized crystal structure of Tb2Cu9Pd (GGA-PBE).

```
Tb2Cu9Pd
1.0
-2.671 -4.128 1.377
0.033 -4.164 -2.954
5.510 -5.560 3.488
Tb Cu Pd
2 9 1
direct
0.868 0.868 0.396
0.132 0.132 0.604
0.667 0.667 0.000
0.333 0.333 0.000
0.500 0.500 0.500
0.417 0.417 0.243
0.923 0.417 0.243
0.417 0.923 0.243
0.583 0.583 0.757
0.583 0.077 0.757
0.077 0.583 0.757
0.000 0.000 0.000
```

Results
calculated density: 9106 kg/m3
E_tot: -0.16120 Ha/atom
size of the total moment: 0.0 μB/f.u.


Entry from the Alexandria database: an optimized crystal structure of Zn2Au (GGA-PBE).

```
Zn2Au
1.0
2.805 0.000 0.000
0.000 4.063 0.000
0.000 0.000 18.075
Zn Au
8 4
direct
0.000 0.250 0.043
0.000 0.250 0.191
0.000 0.750 0.809
0.000 0.750 0.957
0.500 0.250 0.309
0.500 0.250 0.457
0.500 0.750 0.543
0.500 0.750 0.691
0.000 0.250 0.610
0.000 0.750 0.390
0.500 0.250 0.890
0.500 0.750 0.110
```

Results
calculated density: 10567 kg/m3
E_tot: -0.07428 Ha/atom
size of the total moment: 0.0 μB/f.u.